Record 1
ScAl2Rh PBE optimized geometry; E_tot = -6.012 eV per atom; E_form = -0.720 eV per atom
1.0
3.033 0.000 0.000
0.000 3.033 0.000
0.000 0.000 7.155
Sc Al Rh
1 2 1
Direct
0.000 0.000 0.000 Sc
0.500 0.500 0.295 Al
0.500 0.500 0.705 Al
0.000 0.000 0.500 Rh

Record 2
MnPtBr PBE optimized geometry; E_tot = -5.531 eV per atom; excess energy over the best structure of this formula in the dataset = 126 meV/atom; formation energy without anion corrections = 0.097 eV per atom
1.0
-1.566 1.566 5.799
1.566 -1.566 5.799
1.566 1.566 -5.799
Mn Pt Br
1 1 1
Direct
0.000 0.000 0.000 Mn
0.370 0.370 0.000 Pt
0.655 0.655 0.000 Br

Record 3
Li2AcErF8 PBE optimized geometry; E_tot = -5.969 eV per atom; formation energy without anion corrections = -3.680 eV per atom
1.0
3.834 -3.009 0.000
3.834 3.009 0.000
-0.170 0.000 7.880
Li Ac Er F
2 1 1 8
Direct
0.098 0.098 0.270 Li
0.902 0.902 0.730 Li
0.500 0.500 0.000 Ac
0.500 0.500 0.500 Er
0.192 0.192 0.046 F
0.223 0.223 0.476 F
0.283 0.715 0.728 F
0.285 0.717 0.272 F
0.715 0.283 0.728 F
0.717 0.285 0.272 F
0.777 0.777 0.524 F
0.808 0.808 0.954 F

Record 4
Nd4S5I PBE optimized geometry; E_tot = -5.832 eV per atom; formation energy without anion corrections = -1.707 eV per atom
1.0
8.564 0.000 0.000
0.000 10.637 0.000
0.000 0.000 6.986
Nd S I
8 10 2
Direct
0.022 0.250 0.012 Nd
0.250 0.033 0.505 Nd
0.250 0.467 0.505 Nd
0.478 0.250 0.012 Nd
0.522 0.750 0.988 Nd
0.750 0.533 0.495 Nd
0.750 0.967 0.495 Nd
0.978 0.750 0.988 Nd
0.007 0.555 0.746 S
0.007 0.945 0.746 S
0.250 0.250 0.727 S
0.493 0.555 0.746 S
0.493 0.945 0.746 S
0.507 0.055 0.254 S
0.507 0.445 0.254 S
0.750 0.750 0.273 S
0.993 0.055 0.254 S
0.993 0.445 0.254 S
0.250 0.750 0.311 I
0.750 0.250 0.689 I

Record 5
Sc2TaHg PBE optimized geometry; E_tot = -6.070 eV per atom; E_form = 0.135 eV per atom
1.0
-1.631 2.585 4.941
1.631 -2.585 4.941
1.631 2.585 -4.941
Sc Ta Hg
2 1 1
Direct
0.249 0.249 0.000 Sc
0.751 0.751 0.000 Sc
0.500 0.000 0.500 Ta
0.000 0.500 0.500 Hg

Record 6
LaNdZnAu PBE optimized geometry; E_tot = -4.081 eV per atom; E_form = -0.519 eV per atom
1.0
0.000 3.747 3.747
3.747 0.000 3.747
3.747 3.747 0.000
La Nd Zn Au
1 1 1 1
Direct
0.000 0.000 0.000 La
0.500 0.500 0.500 Nd
0.750 0.750 0.750 Zn
0.250 0.250 0.250 Au